No. 1
Below is an optimized crystal structure of Rb2Cu2SnSe4, with properties calculated at the PBE-GGA level.

Lattice parameters (Å, degrees): 4.3156 7.3697 8.5072 111.82 90.04 106.95
Closest atoms and distances in Å follow each position.
Fractional coordinates of all 9 atoms:
Rb 0.1555 0.3114 0.0805  6 Se 3.39-3.51, 3 Cu 3.64-3.78
Rb 0.8445 0.6886 0.9195  6 Se 3.39-3.51, 3 Cu 3.64-3.78
Cu 0.3095 0.6212 0.5375  4 Se 2.44-2.67, 2 Cu 2.66-2.68
Cu 0.6905 0.3788 0.4625  4 Se 2.44-2.67, 2 Cu 2.66-2.68
Sn 0.5000 0.0000 0.5000  2 Se 2.57, 2 Cu 2.81
Se 0.1663 0.3316 0.6271  3 Cu 2.44-2.67
Se 0.4867 0.9738 0.7935  1 Sn 2.57, 1 Cu 2.59
Se 0.5133 0.0262 0.2065  1 Sn 2.57, 1 Cu 2.59
Se 0.8337 0.6684 0.3729  3 Cu 2.44-2.67

Computed properties:
Space group: No. 2
Magnetic moment (μB/atom): 0.000
Calculated volume (Å³ per cell): 238.5
Formation energy from raw total energies (eV/atom): -0.512

No. 2
Below is an optimized crystal structure of Tb3Sc2Zn3, with properties calculated at the PBE-GGA level.

Lattice parameters (Å, degrees): 10.8851 10.8851 10.8851 161.36 153.01 33.00
Closest atoms and distances in Å follow each position.
Fractional coordinates of all 8 atoms:
Tb 0.0000 0.0000 0.0000  8 Zn 3.09-3.12
Tb 0.3777 0.8777 0.5000  6 Zn 3.09-3.10, 2 Sc 3.42
Tb 0.6223 0.1223 0.5000  6 Zn 3.09-3.10, 2 Sc 3.42
Sc 0.2321 0.2321 0.0000  2 Zn 2.88, 4 Sc 3.18
Sc 0.7679 0.7679 0.0000  2 Zn 2.88, 4 Sc 3.18
Zn 0.1232 0.6232 0.5000  2 Sc 2.88, 6 Tb 3.09-3.12
Zn 0.5000 0.5000 0.0000  8 Tb 3.09-3.10
Zn 0.8768 0.3768 0.5000  2 Sc 2.88, 6 Tb 3.09-3.12

Computed properties:
Space group: No. 71
ΔH_f (0 K) (eV/f.u.): -2.01
Magnetic moment (μB/atom): 0.000
Calculated volume (Å³ per cell): 186.9

No. 3
Below is an optimized crystal structure of MgTa4Br, with properties calculated at the PBE-GGA level.

Lattice parameters (Å, degrees): 5.6179 5.6179 5.6179 60.00 60.00 60.00
Closest atoms and distances in Å follow each position.
Fractional coordinates of all 6 atoms:
Mg 0.0000 0.0000 0.0000  12 Ta 3.29, 4 Br 3.44
Ta 0.1169 0.6277 0.6277  6 Ta 2.75-2.87
Ta 0.6277 0.1169 0.6277  6 Ta 2.75-2.87
Ta 0.6277 0.6277 0.1169  6 Ta 2.75-2.87
Ta 0.6277 0.6277 0.6277  6 Ta 2.75-2.87
Br 0.2500 0.2500 0.2500  12 Ta 3.30, 4 Mg 3.44

Computed properties:
Space group: No. 216
Magnetic moment (μB/atom): 0.000
Calculated volume (Å³ per cell): 125.4
Formation energy from raw total energies (eV/atom): 0.741

No. 4
Below is an optimized crystal structure of CrFeAuS2, with properties calculated at the PBE-GGA level.

Lattice parameters (Å, degrees): 4.2308 4.2308 4.9627 90.00 90.00 90.00
Closest atoms and distances in Å follow each position.
Fractional coordinates of all 5 atoms:
Cr 0.0000 0.0000 0.0000  4 Au 2.99, 8 S 3.26
Fe 0.5000 0.5000 0.5000  4 S 2.12
Au 0.5000 0.5000 0.0000  2 Fe 2.48
S 0.0000 0.5000 0.5000  2 Fe 2.12
S 0.5000 0.0000 0.5000  2 Fe 2.12

Computed properties:
Space group: No. 123
Magnetic moment (μB/atom): 0.089
Calculated volume (Å³ per cell): 88.8
Formation energy from raw total energies (eV/atom): 0.946

No. 5
Below is an optimized crystal structure of La2CrTc, with properties calculated at the PBE-GGA level.

Lattice parameters (Å, degrees): 5.7587 5.7587 5.7587 135.45 135.45 64.84
Closest atoms and distances in Å follow each position.
Fractional coordinates of all 4 atoms:
La 0.0000 0.0000 0.0000  4 Cr 3.09, 4 La 3.27, 4 Tc 3.27
La 0.7500 0.2500 0.5000  4 Tc 3.09, 4 Cr 3.27, 4 La 3.27
Cr 0.5000 0.5000 0.0000  8 La 3.09-3.27, 4 Tc 3.27
Tc 0.2500 0.7500 0.5000  8 La 3.09-3.27, 4 Cr 3.27

Computed properties:
Space group: No. 119
ΔH_f (0 K) (eV/f.u.): 2.13
Magnetic moment (μB/atom): 1.064
Calculated volume (Å³ per cell): 92.7

No. 6
Below is an optimized crystal structure of TbCe2UP4, with properties calculated at the PBE-GGA level.

Lattice parameters (Å, degrees): 6.9925 4.0260 6.9983 90.00 109.31 90.00
Closest atoms and distances in Å follow each position.
Fractional coordinates of all 8 atoms:
Tb 0.0000 0.0000 0.0000  6 P 2.84
Ce 0.5000 0.0000 0.5000  6 P 2.87
Ce 0.5000 0.5000 0.0000  6 P 2.90-2.91
U 0.0000 0.5000 0.5000  6 P 2.80-2.81
P 0.2400 0.0000 0.7429  2 U 2.81, 1 Tb 2.84, 3 Ce 2.87-2.90
P 0.2432 0.5000 0.2530  1 U 2.80, 2 Tb 2.84, 3 Ce 2.87-2.91
P 0.7568 0.5000 0.7470  1 U 2.80, 2 Tb 2.84, 3 Ce 2.87-2.91
P 0.7600 0.0000 0.2571  2 U 2.81, 1 Tb 2.84, 3 Ce 2.87-2.90

Computed properties:
Space group: No. 10
ΔH_f (0 K) (eV/f.u.): -11.11
Magnetic moment (μB/atom): 0.440
Calculated volume (Å³ per cell): 185.9

No. 7
Below is an optimized crystal structure of TlBiB2Sb, with properties calculated at the PBE-GGA level.

Lattice parameters (Å, degrees): 4.5286 4.5286 6.3397 90.00 90.00 90.00
Closest atoms and distances in Å follow each position.
Fractional coordinates of all 5 atoms:
Tl 0.0000 0.0000 0.0000  4 B 2.26
Bi 0.0000 0.0000 0.5000  2 Tl 3.17, 4 Sb 3.20
B 0.0000 0.5000 0.0000  2 Tl 2.26
B 0.5000 0.0000 0.0000  2 Tl 2.26
Sb 0.5000 0.5000 0.5000  4 Bi 3.20

Computed properties:
Space group: No. 123
Magnetic moment (μB/atom): 0.000
Calculated volume (Å³ per cell): 130.0
Formation energy from raw total energies (eV/atom): 1.748

No. 8
Below is an optimized crystal structure of La2PmNdTm4, with properties calculated at the PBE-GGA level.

Lattice parameters (Å, degrees): 9.5310 9.5310 11.9089 128.56 128.56 41.81
Closest atoms and distances in Å follow each position.
Fractional coordinates of all 16 atoms:
La 0.0000 0.0000 0.0000  6 Tm 3.32-3.43, 2 Nd 3.40
La 0.0000 0.0000 0.5000  6 Tm 3.32-3.43, 2 Nd 3.40
La 0.0000 0.5000 0.0000  6 Tm 3.32-3.45, 2 La 3.40
La 0.5000 0.0000 0.0000  6 Tm 3.32-3.45, 2 La 3.40
Pm 0.0000 0.5000 0.5000  6 Tm 3.31-3.41, 2 Pm 3.40
Pm 0.5000 0.0000 0.5000  6 Tm 3.31-3.41, 2 Pm 3.40
Nd 0.5000 0.5000 0.0000  6 Tm 3.32-3.42, 2 La 3.40
Nd 0.5000 0.5000 0.5000  6 Tm 3.31-3.42, 2 La 3.40
Tm 0.2501 0.2501 0.2519  1 Nd 3.31, 3 La 3.32-3.45, 2 Tm 3.40, 2 Pm 3.41
Tm 0.2500 0.2500 0.7481  1 Nd 3.32, 3 La 3.32-3.45, 2 Tm 3.40, 2 Pm 3.41
Tm 0.2508 0.7479 0.7493  1 Pm 3.31, 3 La 3.32-3.43, 2 Tm 3.38-3.42, 2 Nd 3.42
Tm 0.2521 0.7492 0.2507  1 Pm 3.31, 3 La 3.32-3.43, 2 Tm 3.38-3.42, 2 Nd 3.42
Tm 0.7479 0.2508 0.7493  1 Pm 3.31, 3 La 3.32-3.43, 2 Tm 3.38-3.42, 2 Nd 3.42
Tm 0.7492 0.2521 0.2507  1 Pm 3.31, 3 La 3.32-3.43, 2 Tm 3.38-3.42, 2 Nd 3.42
Tm 0.7500 0.7500 0.2519  1 Nd 3.32, 3 La 3.32-3.45, 2 Tm 3.40, 2 Pm 3.41
Tm 0.7499 0.7499 0.7481  1 Nd 3.31, 3 La 3.32-3.45, 2 Tm 3.40, 2 Pm 3.41

Computed properties:
Space group: No. 12
ΔH_f (0 K) (eV/f.u.): 3.15
Magnetic moment (μB/atom): 0.000
Calculated volume (Å³ per cell): 537.1

No. 9
Below is an optimized crystal structure of CdHPdPt2, with properties calculated at the PBE-GGA level.

Lattice parameters (Å, degrees): 4.0180 4.0180 4.2485 90.00 90.00 90.00
Closest atoms and distances in Å follow each position.
Fractional coordinates of all 5 atoms:
Cd 0.0000 0.0000 0.0000  4 Pd 2.84, 8 Pt 2.92
H 0.5000 0.5000 0.5000  4 Pt 2.01, 2 Pd 2.12
Pd 0.5000 0.5000 0.0000  2 H 2.12
Pt 0.0000 0.5000 0.5000  2 H 2.01
Pt 0.5000 0.0000 0.5000  2 H 2.01

Computed properties:
Space group: No. 123
Magnetic moment (μB/atom): 0.000
Electronic total energy (eV/atom): -4.499
Calculated volume (Å³ per cell): 68.6

No. 10
Below is an optimized crystal structure of Pm3NdSm, with properties calculated at the PBE-GGA level.

Lattice parameters (Å, degrees): 5.4868 7.5662 8.4207 90.00 90.00 90.00
Closest atoms and distances in Å follow each position.
Fractional coordinates of all 10 atoms:
Pm 0.2500 0.0425 0.2473  2 Pm 3.14-3.39, 1 Sm 3.39
Pm 0.2500 0.4575 0.2473  2 Pm 3.14-3.39, 1 Sm 3.39
Pm 0.2500 0.7500 0.5523  1 Sm 3.28, 6 Pm 3.39-3.58
Pm 0.7500 0.2500 0.4477  1 Sm 3.28, 6 Pm 3.39-3.58
Pm 0.7500 0.5425 0.7527  2 Pm 3.14-3.39, 1 Sm 3.39
Pm 0.7500 0.9575 0.7527  2 Pm 3.14-3.39, 1 Sm 3.39
Nd 0.2500 0.2500 0.7575  6 Pm 3.52-3.79, 2 Sm 3.73
Nd 0.7500 0.7500 0.2425  6 Pm 3.52-3.79, 2 Sm 3.73
Sm 0.2500 0.7500 0.9423  7 Pm 3.28-3.54
Sm 0.7500 0.2500 0.0577  7 Pm 3.28-3.54

Computed properties:
Space group: No. 59
ΔH_f (0 K) (eV/f.u.): 0.90
Magnetic moment (μB/atom): 0.000
Calculated volume (Å³ per cell): 349.6

No. 11
Below is an optimized crystal structure of Ho2TmF11, with properties calculated at the PBE-GGA level.

Lattice parameters (Å, degrees): 8.5368 8.5368 8.5368 121.85 107.14 100.23
Closest atoms and distances in Å follow each position.
Fractional coordinates of all 28 atoms:
Ho 0.1898 0.1600 0.3498  7 F 2.18-2.34
Ho 0.3102 0.6600 0.9702  7 F 2.18-2.34
Ho 0.6898 0.3400 0.0298  7 F 2.18-2.34
Ho 0.8102 0.8400 0.6502  7 F 2.18-2.34
Tm 0.2500 0.7500 0.5000  8 F 2.23-2.25
Tm 0.7500 0.2500 0.5000  8 F 2.23-2.25
F 0.0000 0.0000 0.0000  2 F 2.17, 2 Ho 2.34
F 0.0252 0.4565 0.7698  1 Ho 2.18, 1 Tm 2.23
F 0.0595 0.8395 0.6291  1 Ho 2.19, 1 Tm 2.25
F 0.1867 0.9565 0.4313  1 Ho 2.18, 1 Tm 2.23
F 0.1941 0.8908 0.0849  1 F 2.17, 2 Ho 2.23-2.25
F 0.2104 0.4304 0.3709  1 Ho 2.19, 1 Tm 2.25
F 0.2896 0.6605 0.2201  1 Ho 2.19, 1 Tm 2.25
F 0.3059 0.3908 0.6968  1 F 2.17, 2 Ho 2.23-2.25
F 0.3133 0.7446 0.7698  1 Ho 2.18, 1 Tm 2.23
F 0.4405 0.0696 0.7799  1 Ho 2.19, 1 Tm 2.25
F 0.4748 0.2446 0.4313  1 Ho 2.18, 1 Tm 2.23
F 0.5000 0.5000 0.0000  2 F 2.17, 2 Ho 2.34
F 0.5252 0.7554 0.5687  1 Ho 2.18, 1 Tm 2.23
F 0.5595 0.9304 0.2201  1 Ho 2.19, 1 Tm 2.25
F 0.6867 0.2554 0.2302  1 Ho 2.18, 1 Tm 2.23
F 0.6941 0.6092 0.3032  1 F 2.17, 2 Ho 2.23-2.25
F 0.7104 0.3395 0.7799  1 Ho 2.19, 1 Tm 2.25
F 0.7896 0.5696 0.6291  1 Ho 2.19, 1 Tm 2.25
F 0.8059 0.1092 0.9151  1 F 2.17, 2 Ho 2.23-2.25
F 0.8133 0.0435 0.5687  1 Ho 2.18, 1 Tm 2.23
F 0.9405 0.1605 0.3709  1 Ho 2.19, 1 Tm 2.25
F 0.9748 0.5435 0.2302  1 Ho 2.18, 1 Tm 2.23

Computed properties:
Space group: No. 72
Magnetic moment (μB/atom): 0.150
Calculated volume (Å³ per cell): 460.5
Formation energy from raw total energies (eV/atom): -3.471

No. 12
Below is an optimized crystal structure of AlZn2TeS, with properties calculated at the PBE-GGA level.

Lattice parameters (Å, degrees): 4.7316 4.7316 5.6156 90.00 90.00 90.00
Closest atoms and distances in Å follow each position.
Fractional coordinates of all 5 atoms:
Al 0.0000 0.0000 0.0000  4 Zn 2.37
Zn 0.0000 0.5000 0.0000  2 Al 2.37
Zn 0.5000 0.0000 0.0000  2 Al 2.37
Te 0.0000 0.0000 0.5000  2 Al 2.81
S 0.5000 0.5000 0.5000  4 Te 3.35, 8 Zn 3.67

Computed properties:
Space group: No. 123
Magnetic moment (μB/atom): 0.000
Calculated volume (Å³ per cell): 125.7
Formation energy from raw total energies (eV/atom): 0.497

The highest calculated volume belongs to which entry?
La2PmNdTm4